(1)
# Pm2Zn3Ga4Ru | Alexandria | PBE | optimized geometry
data_Pm2Zn3Ga4Ru
_symmetry_space_group_name_H-M 'P -4 m 2'
_symmetry_Int_Tables_number 115
_cell_length_a 4.2048
_cell_length_b 4.2048
_cell_length_c 10.6681
_cell_angle_alpha 90.00
_cell_angle_beta 90.00
_cell_angle_gamma 90.00
loop_
_symmetry_equiv_pos_as_xyz
'x,y,z'
'y,-x,-z'
'-x,-y,z'
'-y,x,-z'
'-x,y,z'
'-y,-x,-z'
'x,-y,z'
'y,x,-z'
loop_
_atom_site_label
_atom_site_fract_x
_atom_site_fract_y
_atom_site_fract_z
_atom_site_occupancy
Pm1 0.0000 0.5000 0.2489 1
Zn1 0.0000 0.0000 0.0000 1
Zn2 0.0000 0.5000 0.6373 1
Ga1 0.0000 0.0000 0.5000 1
Ga2 0.0000 0.5000 0.8686 1
Ga3 0.5000 0.5000 0.5000 1
Ru1 0.5000 0.5000 0.0000 1
# energy of formation = -430 meV/atom
# V = 18.9 A^3/atom
# M_tot = 0.0 μB/cell
# VASP energy = -3.901 eV/atom

=====

(2)
# Pm2GaS4 | Alexandria | PBE | optimized geometry
data_Pm2GaS4
_symmetry_space_group_name_H-M 'P 1 21/m 1'
_symmetry_Int_Tables_number 11
_cell_length_a 6.5652
_cell_length_b 6.4932
_cell_length_c 7.7125
_cell_angle_alpha 90.00
_cell_angle_beta 107.00
_cell_angle_gamma 90.00
loop_
_symmetry_equiv_pos_as_xyz
'x,y,z'
'-x,-y,-z'
'-x,y+1/2,-z'
'x,-y+1/2,z'
loop_
_atom_site_label
_atom_site_fract_x
_atom_site_fract_y
_atom_site_fract_z
_atom_site_occupancy
Pm1 0.2333 0.2500 0.0533 1
Pm2 0.2386 0.2500 0.5640 1
Ga1 0.2616 0.7500 0.3154 1
S1 0.0075 0.0047 0.2535 1
S2 0.4227 0.7500 0.0884 1
S3 0.4289 0.7500 0.6235 1
# V = 22.5 A^3/atom
# energy relative to the elements, uncorrected = -1445 meV/atom
# M_tot = 0.0 μB/cell
# VASP energy = -5.593 eV/atom